[1]
Nb2HOsRu (GGA-PBE, optimized geometry); calculated total energy = -8.8927 eV/atom; ΔE to the lowest computed polymorph = 0.18 eV per formula unit
1.0
-1.7544 3.7566 0.9202
-3.3344 -1.9811 1.7302
1.7161 -0.0068 3.2995
H Nb Os Ru
1 2 1 1
direct
0.0000 0.0000 0.0000
0.5000 0.0000 0.0000
0.0000 0.5000 0.0000
0.0000 0.0000 0.5000
0.5000 0.5000 0.5000

---

[2]
BaCoCl (GGA-PBE, optimized geometry); calculated total energy = -3.9647 eV/atom; uncorrected formation energy = -0.340 eV/atom; ΔE to the lowest computed polymorph = 1.62 eV per formula unit
1.0
-1.4933 -0.0431 -4.1718
-2.9084 -3.1661 1.0738
-6.4143 6.6475 2.2273
Co Cl Ba
2 2 2
direct
0.0000 0.5000 0.0289
0.5000 0.0000 0.9711
0.5000 0.5000 0.5000
0.0000 0.0000 0.5000
0.5000 0.0000 0.2811
0.0000 0.5000 0.7189